Density functional theory data (PBE-GGA) for Li3Cd2Ag8 after structural relaxation.

Total magnetization, μB/atom: 0.00
Total energy, eV per atom: -2.35
ΔH_f (0 K), eV/atom: -0.010

Cell lengths 5.4643, 5.4643, 30.0256 Å; angles 90.00, 90.00, 120.00 degrees
Space group R-3m (No. 166, hexagonal axes)
Asymmetric unit:
Li1 0.0000 0.0000 0.0000
Li2 0.0000 0.0000 0.1842
Cd1 0.0000 0.0000 0.3617
Ag1 0.0000 0.0000 0.2709
Ag2 0.0011 0.5006 0.7757

Density functional theory data (PBE-GGA) for RbHfTl after structural relaxation.

Total magnetization, μB/atom: 0.31
Total energy, eV per atom: -3.80
ΔH_f (0 K), eV/atom: 0.631

Cell lengths 5.6037, 5.6037, 7.9865 Å; angles 90.00, 90.00, 90.00 degrees
Space group P4/nmm (No. 129, origin choice 2)
Asymmetric unit:
Rb1 0.2500 0.2500 0.1299
Hf1 0.2500 0.2500 0.5855
Tl1 0.2500 0.7500 0.5000

Density functional theory data (PBE-GGA) for Zn2ReSi after structural relaxation.

Total magnetization, μB/atom: 0.00
Total energy, eV per atom: -4.83
Uncorrected formation energy, kJ/mol of formula units: 106

Cell lengths 3.1594, 4.4637, 8.4640 Å; angles 90.00, 90.00, 90.00 degrees
Space group Cmm2 (No. 35)
Asymmetric unit:
Zn1 0.0000 0.0000 0.0000
Zn2 0.0000 0.5000 0.2540
Re1 0.0000 0.5000 0.7413
Si1 0.0000 0.0000 0.5144